# 1
An optimized crystal structure of Ba3TeSe. Source: the Alexandria database, functional PBE-GGA.

abc: 6.1807 6.1807 6.1807
angles: 90.00 90.00 90.00
With the nearest neighbours (Å) after each atom.
Atoms (fractional coordinates):
Ba  0.0000  0.0000  0.5000  2 Se 3.09
Ba  0.0000  0.5000  0.0000  2 Se 3.09
Ba  0.5000  0.0000  0.0000  2 Se 3.09
Te  0.5000  0.5000  0.5000  12 Ba 4.37
Se  0.0000  0.0000  0.0000  6 Ba 3.09

Summary:
Total magnetic moment ... 0.00 μB/cell
Distance to the lowest polymorph of the same formula ... 0.00 eV per formula unit



# 2
An optimized crystal structure of Ba4TeSe3. Source: the Alexandria database, functional PBE-GGA.

abc: 8.3128 8.3128 8.3128
angles: 131.72 131.72 70.67
With the nearest neighbours (Å) after each atom.
Atoms (fractional coordinates):
Ba  0.0000  0.5000  0.5000  4 Se 3.39-3.40, 2 Te 3.40
Ba  0.2419  0.2419  0.0000  5 Se 3.28-3.40, 1 Te 3.50
Ba  0.5000  0.0000  0.5000  4 Se 3.39-3.40, 2 Te 3.40
Ba  0.7581  0.7581  0.0000  5 Se 3.28-3.40, 1 Te 3.50
Te  0.5000  0.5000  0.0000  6 Ba 3.40-3.50
Se  0.0000  0.0000  0.0000  6 Ba 3.28-3.40
Se  0.2500  0.7500  0.5000  6 Ba 3.39-3.40
Se  0.7500  0.2500  0.5000  6 Ba 3.39-3.40

Summary:
Total magnetic moment ... 0.00 μB/cell



# 3
An optimized crystal structure of BaTeSe2. Source: the Alexandria database, functional PBE-GGA.

abc: 6.6856 6.6856 6.6856
angles: 140.90 140.90 56.49
With the nearest neighbours (Å) after each atom.
Atoms (fractional coordinates):
Ba  0.0000  0.0000  0.0000  4 Se 3.16
Te  0.7500  0.2500  0.5000  4 Se 3.16
Se  0.2500  0.7500  0.5000  4 Te 3.16
Se  0.5000  0.5000  0.0000  4 Ba 3.16

Summary:
Total magnetic moment ... 0.00 μB/cell



# 4
An optimized crystal structure of BaTeSe3. Source: the Alexandria database, functional PBE-GGA.

abc: 5.4169 5.4169 5.4169
angles: 90.00 90.00 90.00
With the nearest neighbours (Å) after each atom.
Atoms (fractional coordinates):
Ba  0.0000  0.0000  0.0000  12 Se 3.83
Te  0.5000  0.5000  0.5000  6 Se 2.71
Se  0.0000  0.5000  0.5000  2 Te 2.71
Se  0.5000  0.0000  0.5000  2 Te 2.71
Se  0.5000  0.5000  0.0000  2 Te 2.71

Summary:
Total magnetic moment ... 0.00 μB/cell



# 5
An optimized crystal structure of Ba3Te5Se12. Source: the Alexandria database, functional PBE-GGA.

abc: 15.4042 15.4042 15.4042
angles: 109.47 109.47 109.47
With the nearest neighbours (Å) after each atom.
Atoms (fractional coordinates):
Ba  0.1250  0.2500  0.3750  8 Se 3.40-3.52
Ba  0.1250  0.3750  0.7500  8 Se 3.40-3.52
Ba  0.2500  0.3750  0.1250  8 Se 3.40-3.52
Ba  0.2500  0.8750  0.6250  8 Se 3.40-3.52
Ba  0.3750  0.1250  0.2500  8 Se 3.40-3.52
Ba  0.3750  0.7500  0.1250  8 Se 3.40-3.52
Ba  0.6250  0.2500  0.8750  8 Se 3.40-3.52
Ba  0.6250  0.8750  0.7500  8 Se 3.40-3.52
Ba  0.7500  0.1250  0.3750  8 Se 3.40-3.52
Ba  0.7500  0.6250  0.8750  8 Se 3.40-3.52
Ba  0.8750  0.6250  0.2500  8 Se 3.40-3.52
Ba  0.8750  0.7500  0.6250  8 Se 3.40-3.52
Te  0.0000  0.0000  0.0000  6 Se 2.81
Te  0.0000  0.0000  0.5000  6 Se 2.81
Te  0.0000  0.5000  0.0000  6 Se 2.81
Te  0.0000  0.5000  0.5000  6 Se 2.81
Te  0.1250  0.7500  0.8750  4 Se 2.74
Te  0.1250  0.8750  0.2500  4 Se 2.74
Te  0.2500  0.1250  0.8750  4 Se 2.74
Te  0.2500  0.6250  0.3750  4 Se 2.74
Te  0.3750  0.2500  0.6250  4 Se 2.74
Te  0.3750  0.6250  0.7500  4 Se 2.74
Te  0.5000  0.0000  0.0000  6 Se 2.81
Te  0.5000  0.0000  0.5000  6 Se 2.81
Te  0.5000  0.5000  0.0000  6 Se 2.81
Te  0.5000  0.5000  0.5000  6 Se 2.81
Te  0.6250  0.3750  0.2500  4 Se 2.74
Te  0.6250  0.7500  0.3750  4 Se 2.74
Te  0.7500  0.3750  0.6250  4 Se 2.74
Te  0.7500  0.8750  0.1250  4 Se 2.74
Te  0.8750  0.1250  0.7500  4 Se 2.74
Te  0.8750  0.2500  0.1250  4 Se 2.74
Se  0.0293  0.2012  0.1203  2 Te 2.74-2.81
Se  0.0293  0.3282  0.9090  2 Te 2.74-2.81
Se  0.0809  0.7012  0.6718  2 Te 2.74-2.81
Se  0.0809  0.8797  0.4090  2 Te 2.74-2.81
Se  0.0910  0.6203  0.4191  2 Te 2.74-2.81
Se  0.0910  0.9707  0.6718  2 Te 2.74-2.81
Se  0.1203  0.0293  0.2012  2 Te 2.74-2.81
Se  0.1203  0.5910  0.9191  2 Te 2.74-2.81
Se  0.1718  0.2012  0.5809  2 Te 2.74-2.81
Se  0.1718  0.4707  0.5910  2 Te 2.74-2.81
Se  0.2012  0.1203  0.0293  2 Te 2.74-2.81
Se  0.2012  0.5809  0.1718  2 Te 2.74-2.81
Se  0.2988  0.3282  0.9191  2 Te 2.74-2.81
Se  0.2988  0.4707  0.3797  2 Te 2.74-2.81
Se  0.3282  0.9090  0.0293  2 Te 2.74-2.81
Se  0.3282  0.9191  0.2988  2 Te 2.74-2.81
Se  0.3797  0.2988  0.4707  2 Te 2.74-2.81
Se  0.3797  0.5809  0.9090  2 Te 2.74-2.81
Se  0.4090  0.0809  0.8797  2 Te 2.74-2.81
Se  0.4090  0.8282  0.5293  2 Te 2.74-2.81
Se  0.4191  0.0910  0.6203  2 Te 2.74-2.81
Se  0.4191  0.8282  0.7988  2 Te 2.74-2.81
Se  0.4707  0.3797  0.2988  2 Te 2.74-2.81
Se  0.4707  0.5910  0.1718  2 Te 2.74-2.81
Se  0.5293  0.4090  0.8282  2 Te 2.74-2.81
Se  0.5293  0.6203  0.7012  2 Te 2.74-2.81
Se  0.5809  0.1718  0.2012  2 Te 2.74-2.81
Se  0.5809  0.9090  0.3797  2 Te 2.74-2.81
Se  0.5910  0.1718  0.4707  2 Te 2.74-2.81
Se  0.5910  0.9191  0.1203  2 Te 2.74-2.81
Se  0.6203  0.4191  0.0910  2 Te 2.74-2.81
Se  0.6203  0.7012  0.5293  2 Te 2.74-2.81
Se  0.6718  0.0809  0.7012  2 Te 2.74-2.81
Se  0.6718  0.0910  0.9707  2 Te 2.74-2.81
Se  0.7012  0.5293  0.6203  2 Te 2.74-2.81
Se  0.7012  0.6718  0.0809  2 Te 2.74-2.81
Se  0.7988  0.4191  0.8282  2 Te 2.74-2.81
Se  0.7988  0.8797  0.9707  2 Te 2.74-2.81
Se  0.8282  0.5293  0.4090  2 Te 2.74-2.81
Se  0.8282  0.7988  0.4191  2 Te 2.74-2.81
Se  0.8797  0.4090  0.0809  2 Te 2.74-2.81
Se  0.8797  0.9707  0.7988  2 Te 2.74-2.81
Se  0.9090  0.0293  0.3282  2 Te 2.74-2.81
Se  0.9090  0.3797  0.5809  2 Te 2.74-2.81
Se  0.9191  0.1203  0.5910  2 Te 2.74-2.81
Se  0.9191  0.2988  0.3282  2 Te 2.74-2.81
Se  0.9707  0.6718  0.0910  2 Te 2.74-2.81
Se  0.9707  0.7988  0.8797  2 Te 2.74-2.81

Summary:
Total magnetic moment ... 0.00 μB/cell



# 6
An optimized crystal structure of Ba2TeSe. Source: the Alexandria database, functional PBE-GGA.

abc: 4.8571 4.8571 8.4551
angles: 106.72 106.72 60.06
With the nearest neighbours (Å) after each atom.
Atoms (fractional coordinates):
Ba  0.2454  0.2454  0.2357  3 Se 3.38, 3 Te 3.51
Ba  0.7546  0.7546  0.7643  3 Se 3.38, 3 Te 3.51
Te  0.0000  0.0000  0.5000  6 Ba 3.51
Se  0.5000  0.5000  0.0000  6 Ba 3.38

Summary:
Total magnetic moment ... 0.00 μB/cell
Distance to the lowest polymorph of the same formula ... 0.00 eV per formula unit



# 7
An optimized crystal structure of BaTeSe2. Source: the Alexandria database, functional PBE-GGA.

abc: 8.8956 8.8956 8.8956
angles: 33.19 33.19 33.19
With the nearest neighbours (Å) after each atom.
Atoms (fractional coordinates):
Ba  0.0000  0.0000  0.0000  6 Se 3.31
Te  0.5000  0.5000  0.5000  2 Se 2.67
Se  0.3939  0.3939  0.3939  1 Te 2.67
Se  0.6061  0.6061  0.6061  1 Te 2.67

Summary:
Total magnetic moment ... 1.90 μB/cell



# 8
An optimized crystal structure of BaTeSe3. Source: the Alexandria database, functional PBE-GGA.

abc: 4.7656 15.5092 8.4945
angles: 90.00 90.97 90.00
With the nearest neighbours (Å) after each atom.
Atoms (fractional coordinates):
Ba  0.2304  0.1756  0.0955  8 Se 3.33-3.53
Ba  0.2304  0.3244  0.5955  8 Se 3.33-3.53
Ba  0.7696  0.6756  0.4045  8 Se 3.33-3.53
Ba  0.7696  0.8244  0.9045  8 Se 3.33-3.53
Te  0.2193  0.5765  0.8374  2 Se 2.62-2.65
Te  0.2193  0.9235  0.3374  2 Se 2.62-2.65
Te  0.7807  0.0765  0.6626  2 Se 2.62-2.65
Te  0.7807  0.4235  0.1626  2 Se 2.62-2.65
Se  0.2290  0.1105  0.4940  1 Te 2.65
Se  0.2290  0.3895  0.9940  1 Te 2.65
Se  0.2553  0.7229  0.6843  1 Te 2.62
Se  0.2553  0.7771  0.1843  1 Te 2.62
Se  0.3465  0.5013  0.3840  1 Se 2.43
Se  0.3465  0.9987  0.8840  1 Se 2.43
Se  0.6535  0.0013  0.1160  1 Se 2.43
Se  0.6535  0.4987  0.6160  1 Se 2.43
Se  0.7447  0.2229  0.8157  1 Te 2.62
Se  0.7447  0.2771  0.3157  1 Te 2.62
Se  0.7710  0.6105  0.0060  1 Te 2.65
Se  0.7710  0.8895  0.5060  1 Te 2.65

Summary:
Total magnetic moment ... 0.00 μB/cell



# 9
An optimized crystal structure of Ba2TeSe. Source: the Alexandria database, functional PBE-GGA.

abc: 5.1775 7.0834 7.0834
angles: 37.19 90.00 90.00
With the nearest neighbours (Å) after each atom.
Atoms (fractional coordinates):
Ba  0.0000  0.0000  0.0000  1 Se 3.18, 4 Te 3.44
Ba  0.5000  0.2534  0.2534  4 Se 3.44, 1 Te 3.56
Te  0.5000  0.5185  0.5185  5 Ba 3.44-3.56
Se  0.0000  0.7629  0.7629  5 Ba 3.18-3.44

Summary:
Total magnetic moment ... 0.00 μB/cell
Distance to the lowest polymorph of the same formula ... 0.54 eV per formula unit



# 10
An optimized crystal structure of Ba6TeSe4. Source: the Alexandria database, functional PBE-GGA.

abc: 8.1298 8.1298 24.0409
angles: 90.00 90.00 146.14
With the nearest neighbours (Å) after each atom.
Atoms (fractional coordinates):
Ba  0.0000  0.0000  0.0000  6 Se 3.33-3.35
Ba  0.0000  0.0000  0.5000  6 Se 3.33-3.35
Ba  0.1717  0.8283  0.7500  2 Se 3.25, 2 Te 3.55
Ba  0.2747  0.7253  0.0804  5 Se 3.27-3.32
Ba  0.2747  0.7253  0.4196  5 Se 3.27-3.32
Ba  0.4590  0.5410  0.6623  3 Se 3.23-3.28
Ba  0.4590  0.5410  0.8377  3 Se 3.23-3.28
Ba  0.5410  0.4590  0.1623  3 Se 3.23-3.28
Ba  0.5410  0.4590  0.3377  3 Se 3.23-3.28
Ba  0.7253  0.2747  0.5804  5 Se 3.27-3.32
Ba  0.7253  0.2747  0.9196  5 Se 3.27-3.32
Ba  0.8283  0.1717  0.2500  2 Se 3.25, 2 Te 3.55
Te  0.1582  0.8418  0.2500  6 Ba 3.55-3.66
Te  0.8418  0.1582  0.7500  6 Ba 3.55-3.66
Se  0.0927  0.9073  0.6249  6 Ba 3.25-3.33
Se  0.0927  0.9073  0.8751  6 Ba 3.25-3.33
Se  0.3628  0.6372  0.5430  6 Ba 3.23-3.35
Se  0.3628  0.6372  0.9570  6 Ba 3.23-3.35
Se  0.6372  0.3628  0.0430  6 Ba 3.23-3.35
Se  0.6372  0.3628  0.4570  6 Ba 3.23-3.35
Se  0.9073  0.0927  0.1249  6 Ba 3.25-3.33
Se  0.9073  0.0927  0.3751  6 Ba 3.25-3.33

Summary:
Total magnetic moment ... 1.95 μB/cell



# 11
An optimized crystal structure of BaTeSe2. Source: the Alexandria database, functional PBE-GGA.

abc: 4.3842 5.4782 5.4625
angles: 90.00 90.43 90.00
With the nearest neighbours (Å) after each atom.
Atoms (fractional coordinates):
Ba  0.0000  0.0000  0.0000  8 Se 3.48-3.54
Te  0.6516  0.5000  0.4564  3 Se 2.65-2.82
Se  0.4891  0.5000  0.9891  1 Te 2.65
Se  0.5041  0.0000  0.4994  2 Te 2.82

Summary:
Total magnetic moment ... 0.00 μB/cell



# 12
An optimized crystal structure of Ba2TeSe. Source: the Alexandria database, functional PBE-GGA.

abc: 5.8648 5.8648 5.8648
angles: 60.00 60.00 60.00
With the nearest neighbours (Å) after each atom.
Atoms (fractional coordinates):
Ba  0.2500  0.2500  0.2500  4 Se 3.59, 4 Te 3.59
Ba  0.7500  0.7500  0.7500  4 Te 3.59, 4 Se 3.59
Te  0.0000  0.0000  0.0000  8 Ba 3.59
Se  0.5000  0.5000  0.5000  8 Ba 3.59

Summary:
Total magnetic moment ... 0.00 μB/cell
Distance to the lowest polymorph of the same formula ... 0.81 eV per formula unit



| no. | uncorrected formation energy (eV per atom) |
| --- | --- |
| 1 | -1.072 |
| 2 | -1.966 |
| 3 | -0.755 |
| 4 | -0.714 |
| 5 | -0.515 |
| 6 | -1.910 |
| 7 | -0.699 |
| 8 | -0.843 |
| 9 | -1.776 |
| 10 | -1.766 |
| 11 | -1.024 |
| 12 | -1.709 |